Entry from the Alexandria database: a relaxed structure of Rb2AcTlBr6 (PBE-GGA).

Calculated values
M_tot: 0.0 μB/f.u.
E_tot: -3.55 eV/atom
SG: P2_1/c
energy relative to the elements, uncorrected: -1.705 eV/atom

Cell: 8.2610 8.8156 14.2652 Å, 90.00 123.63 90.00°
With the nearest neighbours (Å) after each atom.
Positions (direct):
Rb 0.2127 0.0787 0.2442  6 Br 3.50-3.77
Rb 0.2127 0.4213 0.7442  6 Br 3.50-3.77
Rb 0.7873 0.5787 0.2558  6 Br 3.50-3.77
Rb 0.7873 0.9213 0.7558  6 Br 3.50-3.77
Ac 0.5000 0.0000 0.0000  6 Br 3.04-3.05
Ac 0.5000 0.5000 0.5000  6 Br 3.04-3.05
Tl 0.0000 0.0000 0.5000  6 Br 3.32-3.37
Tl 0.0000 0.5000 0.0000  6 Br 3.32-3.37
Br 0.1435 0.1840 0.9397  1 Ac 3.04, 1 Tl 3.32
Br 0.1435 0.3160 0.4397  1 Ac 3.04, 1 Tl 3.32
Br 0.2508 0.7136 0.9267  1 Ac 3.05, 1 Tl 3.37
Br 0.2508 0.7864 0.4267  1 Ac 3.05, 1 Tl 3.37
Br 0.3940 0.0542 0.7615  1 Ac 3.04, 1 Tl 3.36
Br 0.3940 0.4458 0.2615  1 Ac 3.04, 1 Tl 3.36
Br 0.6060 0.5542 0.7385  1 Ac 3.04, 1 Tl 3.36
Br 0.6060 0.9458 0.2385  1 Ac 3.04, 1 Tl 3.36
Br 0.7492 0.2136 0.5733  1 Ac 3.05, 1 Tl 3.37
Br 0.7492 0.2864 0.0733  1 Ac 3.05, 1 Tl 3.37
Br 0.8565 0.6840 0.5603  1 Ac 3.04, 1 Tl 3.32
Br 0.8565 0.8160 0.0603  1 Ac 3.04, 1 Tl 3.32

---

Entry from the Alexandria database: a relaxed structure of RbAcTl2Br6 (PBE-GGA).

Calculated values
M_tot: 0.0 μB/f.u.
E_tot: -3.50 eV/atom
SG: R3
energy relative to the elements, uncorrected: -1.519 eV/atom

Cell: 8.7999 8.7999 8.7999 Å, 56.98 56.98 56.98°
With the nearest neighbours (Å) after each atom.
Positions (direct):
Rb 0.0000 0.0000 0.0000  6 Br 3.43-3.56
Ac 0.5097 0.5097 0.5097  6 Br 3.05-3.07
Tl 0.2029 0.2029 0.2029  6 Br 3.32-3.42
Tl 0.7108 0.7108 0.7108  6 Br 3.38-3.41
Br 0.1465 0.7694 0.4034  1 Ac 3.05, 1 Tl 3.41
Br 0.3252 0.5925 0.8820  1 Ac 3.07, 2 Tl 3.32-3.38, 1 Rb 3.43
Br 0.4034 0.1465 0.7694  1 Ac 3.05, 1 Tl 3.41
Br 0.5925 0.8820 0.3252  1 Ac 3.07, 2 Tl 3.32-3.38, 1 Rb 3.43
Br 0.7694 0.4034 0.1465  1 Ac 3.05, 1 Tl 3.41
Br 0.8820 0.3252 0.5925  1 Ac 3.07, 2 Tl 3.32-3.38, 1 Rb 3.43

---

Which formula does entry 2 have?
RbAcTl2Br6

---

The lowest E_tot belongs to which entry?
Rb2AcTlBr6

---

Look up the energy relative to the elements, uncorrected of the second one.
-1.519 eV/atom